(1)
# K2PrZrS4 (PBE, relaxed)
# total magnetic moment	0.00	μB/f.u.
# E_form (uncorrected)	-1.63	eV per atom
data_K2PrZrS4
_chemical_formula_sum 'K2 Pr1 Zr1 S4'
_space_group_name_H-M_alt 'P 1'
_space_group_IT_number 1
_cell_length_a 6.961
_cell_length_b 3.973
_cell_length_c 7.766
_cell_angle_alpha 90.00
_cell_angle_beta 106.95
_cell_angle_gamma 90.00
loop_
_space_group_symop_operation_xyz
'x,y,z'
loop_
_atom_site_label
_atom_site_fract_x
_atom_site_fract_y
_atom_site_fract_z
_atom_site_occupancy
K1 0.000 0.000 0.000 1
K2 0.500 0.500 0.000 1
Pr1 0.000 0.500 0.500 1
Zr1 0.500 0.000 0.500 1
S1 0.259 0.000 0.709 1
S2 0.286 0.500 0.300 1
S3 0.714 0.500 0.700 1
S4 0.741 0.000 0.291 1

***

(2)
# MgCdHg6Pb (PBE, relaxed)
# total magnetic moment	0.00	μB/f.u.
# DFT formation energy	0.047	eV/atom
data_MgCdHg6Pb
_chemical_formula_sum 'Mg2 Cd2 Hg12 Pb2'
_space_group_name_H-M_alt 'P 1'
_space_group_IT_number 1
_cell_length_a 9.155
_cell_length_b 9.155
_cell_length_c 9.155
_cell_angle_alpha 122.13
_cell_angle_beta 117.39
_cell_angle_gamma 90.46
loop_
_space_group_symop_operation_xyz
'x,y,z'
loop_
_atom_site_label
_atom_site_fract_x
_atom_site_fract_y
_atom_site_fract_z
_atom_site_occupancy
Mg1 0.000 0.000 0.000 1
Mg2 0.500 0.000 0.500 1
Cd1 0.500 0.000 0.000 1
Cd2 0.500 0.500 0.500 1
Hg1 0.111 0.393 0.253 1
Hg2 0.111 0.858 0.718 1
Hg3 0.123 0.873 0.250 1
Hg4 0.347 0.597 0.750 1
Hg5 0.360 0.142 0.753 1
Hg6 0.360 0.607 0.218 1
Hg7 0.640 0.393 0.782 1
Hg8 0.640 0.858 0.247 1
Hg9 0.653 0.403 0.250 1
Hg10 0.877 0.127 0.750 1
Hg11 0.889 0.142 0.282 1
Hg12 0.889 0.607 0.747 1
Pb1 0.115 0.365 0.750 1
Pb2 0.885 0.635 0.250 1

***

(3)
# In4AgCl5 (PBE, relaxed)
# total magnetic moment	0.00	μB/f.u.
# E_form (uncorrected)	-0.72	eV per atom
data_In4AgCl5
_chemical_formula_sum 'In4 Ag1 Cl5'
_space_group_name_H-M_alt 'P 1'
_space_group_IT_number 1
_cell_length_a 7.658
_cell_length_b 7.658
_cell_length_c 7.658
_cell_angle_alpha 99.49
_cell_angle_beta 99.49
_cell_angle_gamma 132.08
loop_
_space_group_symop_operation_xyz
'x,y,z'
loop_
_atom_site_label
_atom_site_fract_x
_atom_site_fract_y
_atom_site_fract_z
_atom_site_occupancy
In1 0.092 0.304 0.397 1
In2 0.304 0.908 0.212 1
In3 0.696 0.092 0.788 1
In4 0.908 0.696 0.603 1
Ag1 0.538 0.538 0.000 1
Cl1 0.243 0.609 0.866 1
Cl2 0.376 0.243 0.633 1
Cl3 0.609 0.743 0.367 1
Cl4 0.743 0.376 0.134 1
Cl5 0.990 0.990 0.000 1

***

(4)
# CeDy8Y5 (PBE, relaxed)
# total magnetic moment	1.53	μB/f.u.
# DFT formation energy	0.276	eV/atom
data_CeDy8Y5
_chemical_formula_sum 'Ce1 Dy8 Y5'
_space_group_name_H-M_alt 'P 1'
_space_group_IT_number 1
_cell_length_a 8.433
_cell_length_b 8.433
_cell_length_c 8.433
_cell_angle_alpha 111.70
_cell_angle_beta 111.70
_cell_angle_gamma 105.10
loop_
_space_group_symop_operation_xyz
'x,y,z'
loop_
_atom_site_label
_atom_site_fract_x
_atom_site_fract_y
_atom_site_fract_z
_atom_site_occupancy
Ce1 0.000 0.000 0.000 1
Dy1 0.089 0.681 0.765 1
Dy2 0.281 0.528 0.105 1
Dy3 0.319 0.085 0.408 1
Dy4 0.423 0.176 0.895 1
Dy5 0.472 0.577 0.753 1
Dy6 0.676 0.911 0.592 1
Dy7 0.824 0.719 0.247 1
Dy8 0.915 0.324 0.235 1
Y1 0.033 0.211 0.596 1
Y2 0.250 0.750 0.500 1
Y3 0.562 0.967 0.177 1
Y4 0.615 0.438 0.404 1
Y5 0.789 0.385 0.823 1

***

(5)
# Sc4Fe (PBE, relaxed)
# total magnetic moment	0.00	μB/f.u.
# excess energy over the best structure of this formula in the dataset	0.335	eV per atom
# DFT formation energy	0.406	eV/atom
data_Sc4Fe
_chemical_formula_sum 'Sc8 Fe2'
_space_group_name_H-M_alt 'P 1'
_space_group_IT_number 1
_cell_length_a 6.874
_cell_length_b 6.874
_cell_length_c 6.874
_cell_angle_alpha 60.00
_cell_angle_beta 60.00
_cell_angle_gamma 60.00
loop_
_space_group_symop_operation_xyz
'x,y,z'
loop_
_atom_site_label
_atom_site_fract_x
_atom_site_fract_y
_atom_site_fract_z
_atom_site_occupancy
Sc1 0.214 0.762 0.762 1
Sc2 0.238 0.238 0.238 1
Sc3 0.238 0.238 0.786 1
Sc4 0.238 0.786 0.238 1
Sc5 0.762 0.214 0.762 1
Sc6 0.762 0.762 0.214 1
Sc7 0.762 0.762 0.762 1
Sc8 0.786 0.238 0.238 1
Fe1 0.375 0.375 0.375 1
Fe2 0.625 0.625 0.625 1

***

(6)
# NiTe2AuI (PBE, relaxed)
# total magnetic moment	0.00	μB/f.u.
# E_form (uncorrected)	0.52	eV per atom
# excess energy over the best structure of this formula in the dataset	0.000	eV per atom
data_NiTe2AuI
_chemical_formula_sum 'Ni1 Te2 Au1 I1'
_space_group_name_H-M_alt 'P 1'
_space_group_IT_number 1
_cell_length_a 5.072
_cell_length_b 5.072
_cell_length_c 5.225
_cell_angle_alpha 90.00
_cell_angle_beta 90.00
_cell_angle_gamma 90.00
loop_
_space_group_symop_operation_xyz
'x,y,z'
loop_
_atom_site_label
_atom_site_fract_x
_atom_site_fract_y
_atom_site_fract_z
_atom_site_occupancy
Ni1 0.000 0.000 0.000 1
Te1 0.000 0.500 0.000 1
Te2 0.500 0.000 0.000 1
Au1 0.500 0.500 0.500 1
I1 0.000 0.000 0.500 1

***

(7)
# CsBa2NaRh (PBE, relaxed)
# total magnetic moment	0.00	μB/f.u.
# excess energy over the best structure of this formula in the dataset	0.003	eV per atom
# DFT formation energy	0.059	eV/atom
data_CsBa2NaRh
_chemical_formula_sum 'Cs1 Ba2 Na1 Rh1'
_space_group_name_H-M_alt 'P 1'
_space_group_IT_number 1
_cell_length_a 6.040
_cell_length_b 6.040
_cell_length_c 6.960
_cell_angle_alpha 90.00
_cell_angle_beta 90.00
_cell_angle_gamma 90.00
loop_
_space_group_symop_operation_xyz
'x,y,z'
loop_
_atom_site_label
_atom_site_fract_x
_atom_site_fract_y
_atom_site_fract_z
_atom_site_occupancy
Cs1 0.000 0.000 0.000 1
Ba1 0.000 0.500 0.500 1
Ba2 0.500 0.000 0.500 1
Na1 0.500 0.500 0.000 1
Rh1 0.000 0.000 0.500 1

***

(8)
# TaBe3Ge (PBE, relaxed)
# total magnetic moment	0.00	μB/f.u.
# excess energy over the best structure of this formula in the dataset	0.000	eV per atom
# DFT formation energy	1.091	eV/atom
data_TaBe3Ge
_chemical_formula_sum 'Ta1 Be3 Ge1'
_space_group_name_H-M_alt 'P 1'
_space_group_IT_number 1
_cell_length_a 4.114
_cell_length_b 4.114
_cell_length_c 4.114
_cell_angle_alpha 90.00
_cell_angle_beta 90.00
_cell_angle_gamma 90.00
loop_
_space_group_symop_operation_xyz
'x,y,z'
loop_
_atom_site_label
_atom_site_fract_x
_atom_site_fract_y
_atom_site_fract_z
_atom_site_occupancy
Ta1 0.000 0.000 0.000 1
Be1 0.000 0.500 0.500 1
Be2 0.500 0.000 0.500 1
Be3 0.500 0.500 0.000 1
Ge1 0.500 0.500 0.500 1